NdHo3Hg3: optimized geometry, PBE-GGA. Values from VASP.

Cell and atoms, written as Quantum ESPRESSO input:
```
&SYSTEM
  ibrav = 0, nat = 14, ntyp = 3
/
ATOMIC_SPECIES
Ho 164.93 Ho.upf
Nd 144.24 Nd.upf
Hg 200.59 Hg.upf
CELL_PARAMETERS angstrom
5.1468 0.0000 0.0000
0.0000 9.3333 0.0000
0.0000 -4.6667 8.0829
ATOMIC_POSITIONS angstrom
Ho 3.8601 7.1035 0.0843
Ho 3.8601 1.1880 1.8889
Ho 1.2867 -1.0419 1.9733
Ho 1.2867 3.4787 6.1939
Ho 1.2867 -2.4368 7.9985
Ho 3.8601 5.7085 6.1096
Nd 3.8601 0.0000 5.3886
Nd 1.2867 4.6667 2.6943
Hg 3.8601 7.0117 3.1136
Hg 3.8601 3.1310 4.5155
Hg 1.2867 -2.3451 4.9693
Hg 1.2867 1.5357 3.5674
Hg 1.2867 0.8094 7.6291
Hg 3.8601 3.8573 0.4538
```

Total magnetic moment: 0.0 μB per formula unit
Energy: -43.30 eV per cell
SG: P6_3/m (176)
Formation energy from the elements: -320.3 meV per atom

NdHoHg5: optimized geometry, PBE-GGA. Values from VASP.

Cell and atoms, written as Quantum ESPRESSO input:
```
&SYSTEM
  ibrav = 0, nat = 7, ntyp = 3
/
ATOMIC_SPECIES
Hg 200.59 Hg.upf
Ho 164.93 Ho.upf
Nd 144.24 Nd.upf
CELL_PARAMETERS angstrom
5.2923 0.2088 -0.0007
-1.5247 5.0723 -0.0006
-0.0006 -0.0008 7.0110
ATOMIC_POSITIONS angstrom
Hg -0.0003 -0.0004 3.5055
Hg 2.6456 0.1039 5.3083
Hg 1.1215 5.1764 1.7016
Hg -0.7626 2.5355 5.3083
Hg 4.5297 2.7448 1.7015
Ho 1.8835 2.6401 3.5049
Nd 0.0000 0.0000 0.0000
```

Total magnetic moment: 0.0 μB per formula unit
Energy: -12.63 eV per cell
SG: Cmmm (65)
Formation energy from the elements: -254.1 meV per atom

Nd8HoHg2: optimized geometry, PBE-GGA. Values from VASP.

Cell and atoms, written as Quantum ESPRESSO input:
```
&SYSTEM
  ibrav = 0, nat = 11, ntyp = 3
/
ATOMIC_SPECIES
Ho 164.93 Ho.upf
Nd 144.24 Nd.upf
Hg 200.59 Hg.upf
CELL_PARAMETERS angstrom
5.7290 -0.2457 -0.3688
-1.3061 8.7648 -0.6718
-1.3061 -3.9957 7.8299
ATOMIC_POSITIONS angstrom
Ho 2.8645 -0.1229 -0.1844
Nd 2.9643 1.7342 2.6030
Nd 0.0566 2.3778 0.4629
Nd 0.0566 -0.4886 2.3727
Nd 1.5585 5.7751 1.0538
Nd 3.0603 2.1455 6.3264
Nd 3.0603 5.0120 4.4166
Nd 0.1526 2.7891 4.1863
Nd 1.5585 -1.2517 5.7354
Hg -1.3061 -0.0898 5.2276
Hg -1.3061 4.8589 1.9305
```

Total magnetic moment: 0.0 μB per formula unit
Energy: -44.01 eV per cell
SG: C2/m (12)
Formation energy from the elements: -62.8 meV per atom

Which formula does entry 3 have?
Nd8HoHg2